Here is an optimized crystal structure of Ce4CdSn2 from Alexandria via LeMat-Bulk. Energies are from PBE.

abc: 5.991 5.991 12.142
angles: 90.00 90.00 90.00
Positions (direct):
Ce (0.000, 0.500, 0.000)
Ce (0.000, 0.500, 0.250)
Ce (0.000, 0.500, 0.500)
Ce (0.000, 0.500, 0.750)
Ce (0.500, 0.000, 0.000)
Ce (0.500, 0.000, 0.250)
Ce (0.500, 0.000, 0.500)
Ce (0.500, 0.000, 0.750)
Cd (0.000, 0.000, 0.000)
Cd (0.500, 0.500, 0.500)
Sn (0.000, 0.000, 0.373)
Sn (0.000, 0.000, 0.627)
Sn (0.500, 0.500, 0.127)
Sn (0.500, 0.500, 0.873)

## Properties
N(E_F), states/eV/atom: 4.031
Symmetry: I4/mmm (139)
Calculated total energy, eV per atom: -4.7264



Here is an optimized crystal structure of Ce2Cd5Sn from Alexandria via LeMat-Bulk. Energies are from PBE.

abc: 9.152 9.152 9.898
angles: 90.00 90.00 149.88
Positions (direct):
Ce (0.000, 0.000, 0.000)
Ce (0.000, 0.000, 0.500)
Ce (0.197, 0.803, 0.750)
Ce (0.803, 0.197, 0.250)
Cd (0.190, 0.810, 0.105)
Cd (0.190, 0.810, 0.395)
Cd (0.351, 0.649, 0.029)
Cd (0.351, 0.649, 0.471)
Cd (0.392, 0.608, 0.750)
Cd (0.608, 0.392, 0.250)
Cd (0.649, 0.351, 0.529)
Cd (0.649, 0.351, 0.971)
Cd (0.810, 0.190, 0.605)
Cd (0.810, 0.190, 0.895)
Sn (0.451, 0.549, 0.250)
Sn (0.549, 0.451, 0.750)

## Properties
N(E_F), states/eV/atom: 1.993
Symmetry: Cmcm (63)
Calculated total energy, eV per atom: -2.8137



Here is an optimized crystal structure of CeCdSn2 from Alexandria via LeMat-Bulk. Energies are from PBE.

abc: 3.892 3.892 7.018
angles: 90.00 90.00 90.00
Positions (direct):
Ce (0.000, 0.000, 0.000)
Cd (0.000, 0.000, 0.500)
Sn (0.500, 0.500, 0.280)
Sn (0.500, 0.500, 0.720)

## Properties
N(E_F), states/eV/atom: 2.091
Symmetry: P4/mmm (123)
Calculated total energy, eV per atom: -3.9590
Excess energy over the best structure of this formula in the dataset, eV per atom: 0.244



no.,M_tot (μB/cell),DFT formation energy (eV per atom)
1,12.098,-0.0612
2,3.780,-0.2580
3,1.218,-0.2454